A plane-wave DFT calculation with GGA-PBE was carried out for crystalline BiIrPb2O8 at its relaxed geometry.

Calculated values
electronic total energy	-5.842	eV/atom
calculated density	9.08	g/cm3
N(E_F)	4.5	states/eV per cell
uncorrected formation energy	-992	kJ/mol of formula units

abc: 5.0701 4.9899 6.8183
angles: 90.00 90.00 90.50
Site moments in Bohr magnetons follow the coordinates.
Element x y z (fractional)
1 Bi 0.0000 0.0000 0.5000  -0.01
2 Ir 0.0000 0.0000 0.0000  0.53
3 Pb 0.5000 0.5000 0.7588  -0.01
4 Pb 0.5000 0.5000 0.2412  -0.01
5 O 0.1514 0.7897 0.2198  0.04
6 O 0.6901 0.7593 0.0000  0.07
7 O 0.8486 0.2103 0.2198  0.04
8 O 0.8486 0.2103 0.7802  0.04
9 O 0.3099 0.2407 0.0000  0.07
10 O 0.1514 0.7897 0.7802  0.04
11 O 0.6660 0.7094 0.5000  0.00
12 O 0.3340 0.2906 0.5000  0.00

A plane-wave DFT calculation with GGA-PBE was carried out for crystalline Tb6YHo8 at its relaxed geometry.

Calculated values
energy of formation from the pure elements	129.2	meV per atom
electronic total energy	-4.595	eV/atom
calculated density	8.14	g/cm3
ΔE to the lowest computed polymorph	0.000	eV/atom
N(E_F)	22.7	states/eV per cell

abc: 9.0125 9.0125 8.6029
angles: 58.41 58.41 60.00
Element x y z (fractional)
1 Tb 0.4607 0.8915 0.8753
2 Tb 0.1085 0.2274 0.1247
3 Tb 0.2274 0.5393 0.1247
4 Tb 0.7726 0.4607 0.8753
5 Tb 0.8915 0.7726 0.8753
6 Tb 0.5393 0.1085 0.1247
7 Y 0.0000 0.0000 0.0000
8 Ho 0.7212 0.1103 0.4250
9 Ho 0.8897 0.2565 0.5750
10 Ho 0.2565 0.2788 0.5750
11 Ho 0.5767 0.5767 0.2700
12 Ho 0.4233 0.4233 0.7300
13 Ho 0.7435 0.7212 0.4250
14 Ho 0.1103 0.7435 0.4250
15 Ho 0.2788 0.8897 0.5750

A plane-wave DFT calculation with GGA-PBE was carried out for crystalline YZrHg3 at its relaxed geometry.

Calculated values
energy of formation from the pure elements	878.7	meV per atom
electronic total energy	-2.305	eV/atom
calculated density	7.88	g/cm3
ΔE to the lowest computed polymorph	0.444	eV/atom
N(E_F)	3.9	states/eV per cell

abc: 5.4833 5.4833 5.4833
angles: 90.00 90.00 90.00
Site moments in Bohr magnetons follow the coordinates.
Element x y z (fractional)
1 Y 0.0000 0.0000 0.0000  -0.05
2 Hg 0.0000 0.5000 0.0000  0.00
3 Hg 0.0000 0.0000 0.5000  0.00
4 Hg 0.5000 0.0000 0.0000  -0.02
5 Zr 0.5000 0.5000 0.5000  0.61